Record 1
Entry from Alexandria: a relaxed structure of HgBiTeI2 (GGA-PBE).

It has space group P4/mmm (No. 123), with a = 6.1740 Å, b = 6.1740 Å, c = 6.1325 Å, α = 90.00°, β = 90.00° and γ = 90.00°. The asymmetric unit holds Hg at (0.0000, 0.0000, 0.0000), Bi at (0.5000, 0.5000, 0.5000), Te at (0.5000, 0.5000, 0.0000) and I at (0.0000, 0.5000, 0.5000).

The value obtained for the total DFT energy (no corrections) is -2.02 eV per atom. For the excess energy over the best structure of this formula in the dataset, the calculation gives 0 meV/atom. As for the formation energy without anion corrections: 0.064 eV per atom.


Record 2
Entry from Alexandria: a relaxed structure of CsRb2HgSe2 (GGA-PBE).

It has space group Pnnm (No. 58), with a = 7.9336 Å, b = 14.7123 Å, c = 5.3402 Å, α = 90.00°, β = 90.00° and γ = 90.00°. The asymmetric unit holds Cs at (0.0000, 0.0000, 0.0000), Rb at (0.0514, 0.2936, 0.5000), Hg at (0.0000, 0.5000, 0.0000) and Se at (0.2418, 0.8778, 0.5000).

The value obtained for the total DFT energy (no corrections) is -2.42 eV per atom. As for the formation energy without anion corrections: -0.748 eV per atom.


Record 3
Entry from Alexandria: a relaxed structure of Pa3Zn4Au4 (GGA-PBE).

It has space group P-1 (No. 2), with a = 3.2002 Å, b = 4.6494 Å, c = 14.8234 Å, α = 81.03°, β = 83.80° and γ = 90.00°. The asymmetric unit holds Pa at (0.0000, 0.0000, 0.0000), Pa at (0.1417, 0.6406, 0.7173), Zn at (0.2621, 0.2628, 0.4757), Zn at (0.4055, 0.9066, 0.1880), Au at (0.3133, 0.8144, 0.3732) and Au at (0.4510, 0.4513, 0.0981).

The value obtained for the total DFT energy (no corrections) is -4.56 eV per atom.


Record 4
Entry from Alexandria: a relaxed structure of Y3ZrTl (GGA-PBE).

It has space group Pm-3m (No. 221), with a = 5.5430 Å, b = 5.5430 Å, c = 5.5430 Å, α = 90.00°, β = 90.00° and γ = 90.00°. The asymmetric unit holds Y at (0.0000, 0.0000, 0.5000), Zr at (0.0000, 0.0000, 0.0000) and Tl at (0.5000, 0.5000, 0.5000).

The value obtained for the total DFT energy (no corrections) is -5.48 eV per atom. For the excess energy over the best structure of this formula in the dataset, the calculation gives 0 meV/atom.


The highest total DFT energy (no corrections) belongs to which entry? HgBiTeI2